(1)
Sr2CrRe: optimized geometry, PBE.

Cell lengths 5.349, 5.349, 6.500 Å; angles 85.08, 85.08, 32.98 degrees
Each line ends with the local moment (μB).
Element x y z (fractional)
Cr 0.750 0.750 0.750  3.76
Re 0.250 0.250 0.250  -0.08
Sr 0.992 0.992 0.012  -0.04
Sr 0.508 0.508 0.488  -0.04

Values from the calculation:
Its offset from the most stable computed form is 742 meV/atom. The formation energy comes out at 1.34 eV per atom.

(2)
SrCrRe4: optimized geometry, PBE.

Cell lengths 5.356, 5.356, 5.356 Å; angles 60.00, 60.00, 60.00 degrees
Each line ends with the local moment (μB).
Element x y z (fractional)
Sr 0.750 0.750 0.750  0.00
Cr 0.000 0.000 0.000  -3.06
Re 0.877 0.374 0.374  0.10
Re 0.374 0.374 0.877  0.10
Re 0.374 0.877 0.374  0.10
Re 0.374 0.374 0.374  0.10

Values from the calculation:
The formation energy comes out at 0.65 eV per atom.

(3)
SrCr3Re: optimized geometry, PBE.

Cell lengths 4.608, 4.608, 4.608 Å; angles 90.00, 90.00, 90.00 degrees
Each line ends with the local moment (μB).
Element x y z (fractional)
Re 0.500 0.500 0.500  -2.38
Cr 0.000 0.500 0.000  3.02
Cr 0.000 0.000 0.500  2.58
Cr 0.500 0.000 0.000  3.01
Sr 0.000 0.000 0.000  0.07

Values from the calculation:
Its offset from the most stable computed form is 1986 meV/atom. The formation energy comes out at 2.94 eV per atom.

(4)
SrCr3Re: optimized geometry, PBE.

Cell lengths 4.822, 4.822, 4.822 Å; angles 90.00, 90.00, 90.00 degrees
Each line ends with the local moment (μB).
Element x y z (fractional)
Re 0.000 0.000 0.000  -0.78
Cr 0.000 0.500 0.000  2.93
Cr 0.000 0.000 0.500  2.67
Cr 0.500 0.000 0.000  3.18
Sr 0.500 0.500 0.500  0.03

Values from the calculation:
Its offset from the most stable computed form is 0 meV/atom. The formation energy comes out at 0.95 eV per atom.

(5)
Sr2CrRe: optimized geometry, PBE.

Cell lengths 3.463, 3.463, 9.239 Å; angles 90.00, 90.00, 90.00 degrees
Each line ends with the local moment (μB).
Element x y z (fractional)
Cr 0.500 0.500 0.250  -4.05
Re 0.500 0.500 0.750  1.14
Sr 0.000 0.000 0.972  -0.01
Sr 0.000 0.000 0.528  -0.01

Values from the calculation:
Its offset from the most stable computed form is 623 meV/atom. The formation energy comes out at 1.22 eV per atom.

(6)
Sr2Cr2Re: optimized geometry, PBE.

Cell lengths 4.015, 4.015, 7.165 Å; angles 73.73, 73.73, 90.00 degrees
Element x y z (fractional)
Re 0.000 0.000 0.000
Cr 0.432 0.432 0.136
Cr 0.568 0.568 0.864
Sr 0.750 0.250 0.500
Sr 0.250 0.750 0.500

Values from the calculation:
Its offset from the most stable computed form is 217 meV/atom. The formation energy comes out at 1.70 eV per atom.

(7)
Sr2CrRe: optimized geometry, PBE.

Cell lengths 4.684, 3.096, 7.769 Å; angles 66.46, 90.00, 90.00 degrees
Each line ends with the local moment (μB).
Element x y z (fractional)
Cr 0.500 0.250 0.250  3.88
Re 0.500 0.750 0.750  -0.10
Sr 0.000 0.015 0.985  0.00
Sr 0.000 0.485 0.515  0.00

Values from the calculation:
Its offset from the most stable computed form is 627 meV/atom. The formation energy comes out at 1.23 eV per atom.

(8)
Sr2CrRe: optimized geometry, PBE.

Cell lengths 6.344, 6.344, 6.344 Å; angles 145.91, 129.19, 62.61 degrees
Each line ends with the local moment (μB).
Element x y z (fractional)
Cr 0.565 0.565 0.000  2.03
Re 0.690 0.190 0.500  -0.63
Sr 0.978 0.978 0.000  0.04
Sr 0.267 0.767 0.500  0.01

Values from the calculation:
Its offset from the most stable computed form is 99 meV/atom. The formation energy comes out at 0.70 eV per atom.

- Among the records above, which one has the highest formation energy?
  number 3